# 1
DFT (GGA-PBE) results for AcTh2V after structural relaxation.

Values from the calculation:
E_tot	-0.47396	Ry/atom
calculated formation energy	0.568	eV/atom
M_tot	0.4118	μB per atom

Unit cell a=3.5424 b=3.5424 c=34.7976 alpha=90.00 beta=90.00 gamma=120.00
Last column: nearest neighbours and their distance in Å.
Space group R-3m (No. 166, hexagonal axes)
Symmetry-distinct sites (fractional):
Ac  0.0000  0.0000  0.0000 [3 per cell]  2 Th 3.54, 6 Ac 3.54
Th  0.0000  0.0000  0.1016 [6 per cell]  3 V 3.05
V  0.0000  0.0000  0.5000 [3 per cell]  6 Th 3.05



# 2
DFT (GGA-PBE) results for AcY2Th after structural relaxation.

Values from the calculation:
relative energy among the computed polymorphs	12	meV/atom
E_tot	-0.44565	Ry/atom
calculated formation energy	0.051	eV/atom
M_tot	0.0000	μB per atom

Unit cell a=3.6973 b=3.6973 c=35.2835 alpha=90.00 beta=90.00 gamma=120.00
Last column: nearest neighbours and their distance in Å.
Space group R-3m (No. 166, hexagonal axes)
Symmetry-distinct sites (fractional):
Ac  0.0000  0.0000  0.0000 [3 per cell]  6 Ac 3.70, 6 Y 3.75
Y  0.0000  0.0000  0.2459 [6 per cell]  3 Th 3.52, 6 Y 3.70, 3 Ac 3.75
Th  0.0000  0.0000  0.5000 [3 per cell]  6 Y 3.52, 6 Th 3.70



# 3
DFT (GGA-PBE) results for AcY14Th after structural relaxation.

Values from the calculation:
E_tot	-0.46584	Ry/atom
calculated formation energy	0.038	eV/atom
M_tot	0.0000	μB per atom

Unit cell a=7.2181 b=7.2181 c=10.1522 alpha=90.00 beta=90.00 gamma=90.00
Last column: nearest neighbours and their distance in Å.
Space group P4/mmm (No. 123)
Symmetry-distinct sites (fractional):
Ac  0.0000  0.0000  0.0000 [1 per cell]  12 Y 3.61-3.65
Y  0.0000  0.0000  0.5000 [1 per cell]  12 Y 3.61-3.62
Y  0.0000  0.5000  0.0000 [2 per cell]  2 Ac 3.61, 2 Th 3.61, 8 Y 3.62
Y  0.0000  0.5000  0.5000 [2 per cell]  12 Y 3.58-3.61
Y  0.2549  0.2549  0.2522 [8 per cell]  10 Y 3.54-3.68, 1 Th 3.58, 1 Ac 3.65
Y  0.5000  0.5000  0.5000 [1 per cell]  12 Y 3.55-3.61
Th  0.5000  0.5000  0.0000 [1 per cell]  12 Y 3.58-3.61



# 4
DFT (GGA-PBE) results for AcY6Th after structural relaxation.

Values from the calculation:
relative energy among the computed polymorphs	193	meV/atom
E_tot	-0.44478	Ry/atom
calculated formation energy	0.238	eV/atom
M_tot	0.0000	μB per atom

Unit cell a=6.5893 b=6.8247 c=7.6443 alpha=116.24 beta=114.60 gamma=90.16
Last column: nearest neighbours and their distance in Å.
Space group P-1 (No. 2)
Symmetry-distinct sites (fractional):
Ac  0.0000  0.0000  0.0000 [1 per cell]  2 Th 3.41, 8 Y 3.53-3.72
Y  0.0723  0.2720  0.5435 [2 per cell]  6 Y 3.28-3.52, 1 Th 3.38, 1 Ac 3.53
Y  0.4520  0.7596  0.5198 [2 per cell]  6 Y 3.28-3.61, 1 Th 3.42, 1 Ac 3.58
Y  0.5003  0.2538  0.9994 [2 per cell]  6 Y 3.36-3.61, 2 Th 3.69-3.70, 2 Ac 3.72
Th  0.0000  0.5000  0.0000 [1 per cell]  8 Y 3.38-3.70, 2 Ac 3.41



Copy entry 3 word for word.
DFT (GGA-PBE) results for AcY14Th after structural relaxation.

Values from the calculation:
E_tot	-0.46584	Ry/atom
calculated formation energy	0.038	eV/atom
M_tot	0.0000	μB per atom

Unit cell a=7.2181 b=7.2181 c=10.1522 alpha=90.00 beta=90.00 gamma=90.00
Last column: nearest neighbours and their distance in Å.
Space group P4/mmm (No. 123)
Symmetry-distinct sites (fractional):
Ac  0.0000  0.0000  0.0000 [1 per cell]  12 Y 3.61-3.65
Y  0.0000  0.0000  0.5000 [1 per cell]  12 Y 3.61-3.62
Y  0.0000  0.5000  0.0000 [2 per cell]  2 Ac 3.61, 2 Th 3.61, 8 Y 3.62
Y  0.0000  0.5000  0.5000 [2 per cell]  12 Y 3.58-3.61
Y  0.2549  0.2549  0.2522 [8 per cell]  10 Y 3.54-3.68, 1 Th 3.58, 1 Ac 3.65
Y  0.5000  0.5000  0.5000 [1 per cell]  12 Y 3.55-3.61
Th  0.5000  0.5000  0.0000 [1 per cell]  12 Y 3.58-3.61



Question: Number 3 is which compound?
Answer: AcY14Th



Question: The lowest E_tot belongs to which entry?
Answer: AcTh2V



Repeat the second record exactly.
DFT (GGA-PBE) results for AcY2Th after structural relaxation.

Values from the calculation:
relative energy among the computed polymorphs	12	meV/atom
E_tot	-0.44565	Ry/atom
calculated formation energy	0.051	eV/atom
M_tot	0.0000	μB per atom

Unit cell a=3.6973 b=3.6973 c=35.2835 alpha=90.00 beta=90.00 gamma=120.00
Last column: nearest neighbours and their distance in Å.
Space group R-3m (No. 166, hexagonal axes)
Symmetry-distinct sites (fractional):
Ac  0.0000  0.0000  0.0000 [3 per cell]  6 Ac 3.70, 6 Y 3.75
Y  0.0000  0.0000  0.2459 [6 per cell]  3 Th 3.52, 6 Y 3.70, 3 Ac 3.75
Th  0.0000  0.0000  0.5000 [3 per cell]  6 Y 3.52, 6 Th 3.70